AcAsPb2 | PBE-GGA | optimized geometry

Lattice parameters (Å, degrees): 4.212 4.212 6.846 90.00 90.00 90.00
Space group P4/mmm (No. 123)
Asymmetric unit:
Ac 0.000 0.000 0.000
As 0.000 0.000 0.500
Pb 0.500 0.500 0.285

Values from the calculation:
calculated total energy = -16.9 eV/cell

InSi3C | PBE-GGA | optimized geometry

Lattice parameters (Å, degrees): 5.098 5.098 5.098 90.00 90.00 90.00
Space group Pm-3m (No. 221)
Asymmetric unit:
In 0.000 0.000 0.000
Si 0.000 0.000 0.500
C 0.500 0.500 0.500

Values from the calculation:
formation energy (no corrections) = 2599.2 meV per atom
calculated total energy = -15.2 eV/cell

K6Rb2CdO | PBE-GGA | optimized geometry

Lattice parameters (Å, degrees): 11.323 11.330 10.904 90.00 121.21 90.00
Space group Cm (No. 8)
Asymmetric unit:
K 0.000 0.000 0.000
K 0.009 0.500 0.021
K 0.175 0.279 0.352
K 0.395 0.500 0.350
K 0.454 0.000 0.352
Rb 0.127 0.251 0.756
Cd 0.300 0.000 0.604
O 0.144 0.500 0.290

Values from the calculation:
formation energy (no corrections) = -286.0 meV per atom
calculated total energy = -34.5 eV/cell

NaAsRhSe2 | PBE-GGA | optimized geometry

Lattice parameters (Å, degrees): 4.940 4.940 4.826 90.00 90.00 90.00
Space group P4/mmm (No. 123)
Asymmetric unit:
Na 0.000 0.000 0.000
As 0.000 0.000 0.500
Rh 0.500 0.500 0.500
Se 0.000 0.500 0.000

Values from the calculation:
formation energy (no corrections) = 1200.9 meV per atom
calculated total energy = -14.3 eV/cell

Tb3Nd2Y6Er | PBE-GGA | optimized geometry

Lattice parameters (Å, degrees): 6.205 10.740 11.854 90.00 100.00 90.00
Space group C2/m (No. 12)
Asymmetric unit:
Tb 0.000 0.000 0.000
Tb 0.000 0.333 0.000
Nd 0.000 0.166 0.500
Y 0.248 0.500 0.248
Y 0.250 0.166 0.248
Er 0.000 0.500 0.500

Values from the calculation:
calculated total energy = -133.1 eV/cell

KPaPb2O6 | PBE-GGA | optimized geometry

Lattice parameters (Å, degrees): 13.122 8.216 7.963 90.00 123.30 90.00
Space group C2/c (No. 15)
Asymmetric unit:
K 0.000 0.209 0.250
Pa 0.000 0.263 0.750
Pb 0.231 0.496 0.265
O 0.101 0.117 0.009
O 0.129 0.489 0.925
O 0.136 0.241 0.676

Values from the calculation:
formation energy (no corrections) = -1858.8 meV per atom
calculated total energy = -265.4 eV/cell

Ac2Mg12Cd3In | PBE-GGA | optimized geometry

Lattice parameters (Å, degrees): 6.7427 6.7427 38.6019 90.00 90.00 120.00
Space group R-3m (No. 166, hexagonal axes)
Asymmetric unit:
Ac 0.0000 0.0000 0.1400
Mg 0.0100 0.5050 0.8895
Mg 0.0336 0.5168 0.6136
Cd 0.0000 0.5000 0.0000
In 0.0000 0.0000 0.5000

Values from the calculation:
calculated total energy = -95.9 eV/cell

OsC2 | PBE-GGA | optimized geometry

Lattice parameters (Å, degrees): 2.8637 2.8637 14.6921 90.00 90.00 120.00
Space group R-3m (No. 166, hexagonal axes)
Asymmetric unit:
Os 0.0000 0.0000 0.0000
C 0.0000 0.0000 0.2453

Values from the calculation:
calculated total energy = -69.1 eV/cell

TlCrMo2Ir | PBE-GGA | optimized geometry

Lattice parameters (Å, degrees): 4.539 4.539 4.558 90.00 90.00 90.00
Space group P4/mmm (No. 123)
Asymmetric unit:
Tl 0.000 0.000 0.000
Cr 0.500 0.500 0.500
Mo 0.000 0.500 0.500
Ir 0.500 0.500 0.000

Values from the calculation:
calculated total energy = -36.8 eV/cell

Zr2MoCl | PBE-GGA | optimized geometry

Lattice parameters (Å, degrees): 6.753 6.753 6.753 90.00 90.00 90.00
Space group Fm-3m (No. 225)
Asymmetric unit:
Zr 0.250 0.250 0.250
Mo 0.000 0.000 0.000
Cl 0.000 0.000 0.500

Values from the calculation:
formation energy (no corrections) = 240.8 meV per atom
calculated total energy = -115.2 eV/cell

Al2TeMo | PBE-GGA | optimized geometry

Lattice parameters (Å, degrees): 3.245 3.245 7.606 90.00 90.00 90.00
Space group P4mm (No. 99)
Asymmetric unit:
Al 0.000 0.000 0.000
Al 0.500 0.500 0.216
Te 0.500 0.500 0.620
Mo 0.000 0.000 0.410

Values from the calculation:
formation energy (no corrections) = 131.0 meV per atom
calculated total energy = -20.9 eV/cell

HRh2Pb2 | PBE-GGA | optimized geometry

Lattice parameters (Å, degrees): 11.919 5.302 7.202 90.00 126.30 90.00
Space group C2/m (No. 12)
Asymmetric unit:
H 0.122 0.000 0.122
Rh 0.009 0.000 0.815
Rh 0.219 0.500 0.596
Pb 0.059 0.500 0.786
Pb 0.187 0.000 0.674

Values from the calculation:
calculated total energy = -99.9 eV/cell

Th2HgOs | PBE-GGA | optimized geometry

Lattice parameters (Å, degrees): 4.2181 4.2181 7.6612 90.00 90.00 120.00
Space group P-3m1 (No. 164)
Asymmetric unit:
Th 0.3333 0.6667 0.3077
Hg 0.0000 0.0000 0.0000
Os 0.0000 0.0000 0.5000

Values from the calculation:
calculated total energy = -27.7 eV/cell

ScSb4Cl | PBE-GGA | optimized geometry

Lattice parameters (Å, degrees): 8.730 8.730 8.730 90.00 90.00 90.00
Space group F-43m (No. 216)
Asymmetric unit:
Sc 0.000 0.000 0.000
Sb 0.124 0.124 0.376
Cl 0.250 0.250 0.750

Values from the calculation:
formation energy (no corrections) = -39.4 meV per atom
calculated total energy = -99.6 eV/cell

ErTaAl | PBE-GGA | optimized geometry

Lattice parameters (Å, degrees): 7.1457 7.1457 4.4516 90.00 90.00 120.00
Space group P-62m (No. 189)
Asymmetric unit:
Er 0.0000 0.4189 0.0000
Ta 0.0000 0.7789 0.5000
Al 0.0000 0.0000 0.0000
Al 0.3333 0.6667 0.5000

Values from the calculation:
calculated total energy = -61.3 eV/cell

Sm2Cl4F | PBE-GGA | optimized geometry

Lattice parameters (Å, degrees): 4.7644 4.7644 26.0026 90.00 90.00 120.00
Space group R-3m (No. 166, hexagonal axes)
Asymmetric unit:
Sm 0.0000 0.0000 0.0855
Cl 0.0000 0.0000 0.2025
Cl 0.0000 0.0000 0.3901
F 0.0000 0.0000 0.0000

Values from the calculation:
formation energy (no corrections) = -2361.6 meV per atom
calculated total energy = -105.7 eV/cell

ScCo2I | PBE-GGA | optimized geometry

Lattice parameters (Å, degrees): 6.295 6.295 6.295 90.00 90.00 90.00
Space group Fm-3m (No. 225)
Asymmetric unit:
Sc 0.000 0.000 0.000
Co 0.250 0.250 0.250
I 0.000 0.000 0.500

Values from the calculation:
formation energy (no corrections) = 358.8 meV per atom
calculated total energy = -82.6 eV/cell

KGaSi | PBE-GGA | optimized geometry

Lattice parameters (Å, degrees): 5.9840 5.9840 8.8766 90.00 90.00 120.00
Space group P6_3/mmc (No. 194)
Asymmetric unit:
K 0.3333 0.6667 0.2500
Ga 0.0000 0.0000 0.2500
Si 0.0000 0.0000 0.0000

Values from the calculation:
formation energy (no corrections) = 505.3 meV per atom
calculated total energy = -16.1 eV/cell

Cs2PdAuO4 | PBE-GGA | optimized geometry

Lattice parameters (Å, degrees): 6.075 14.469 20.750 90.00 90.00 90.00
Space group Fddd (No. 70, origin choice 2)
Asymmetric unit:
Cs 0.125 0.125 0.295
Pd 0.125 0.125 0.125
Au 0.125 0.125 0.625
O 0.124 0.284 0.376

Values from the calculation:
formation energy (no corrections) = -753.3 meV per atom
calculated total energy = -288.3 eV/cell

PmH12Pd7 | PBE-GGA | optimized geometry

Lattice parameters (Å, degrees): 7.063 7.063 7.063 90.00 90.00 90.00
Space group Im-3 (No. 204)
Asymmetric unit:
Pm 0.000 0.000 0.000
H 0.000 0.310 0.177
Pd 0.000 0.000 0.500
Pd 0.250 0.250 0.250

Values from the calculation:
calculated total energy = -169.2 eV/cell

NaPtS2Cl | PBE-GGA | optimized geometry

Lattice parameters (Å, degrees): 4.697 4.697 5.294 90.00 90.00 90.00
Space group P4/mmm (No. 123)
Asymmetric unit:
Na 0.000 0.000 0.000
Pt 0.500 0.500 0.500
S 0.000 0.500 0.500
Cl 0.500 0.500 0.000

Values from the calculation:
formation energy (no corrections) = -212.7 meV per atom
calculated total energy = -18.5 eV/cell

Cd2In2Sn | PBE-GGA | optimized geometry

Lattice parameters (Å, degrees): 10.501 4.620 7.253 90.00 133.40 90.00
Space group C2/m (No. 12)
Asymmetric unit:
Cd 0.101 0.000 0.403
In 0.200 0.500 0.795
Sn 0.000 0.500 0.000

Values from the calculation:
calculated total energy = -22.4 eV/cell

AlCoPt2 | PBE-GGA | optimized geometry

Lattice parameters (Å, degrees): 9.177 2.804 4.533 90.00 106.20 90.00
Space group Cm (No. 8)
Asymmetric unit:
Al 0.000 0.000 0.000
Co 0.227 0.500 0.314
Pt 0.254 0.000 0.828
Pt 0.477 0.000 0.483

Values from the calculation:
calculated total energy = -50.0 eV/cell

ThSc12Cd3 | PBE-GGA | optimized geometry

Lattice parameters (Å, degrees): 4.573 4.573 18.254 90.00 90.00 90.00
Space group P4/mmm (No. 123)
Asymmetric unit:
Th 0.000 0.000 0.000
Sc 0.000 0.500 0.131
Sc 0.000 0.500 0.378
Sc 0.500 0.500 0.000
Sc 0.500 0.500 0.258
Sc 0.500 0.500 0.500
Cd 0.000 0.000 0.257
Cd 0.000 0.000 0.500

Values from the calculation:
calculated total energy = -87.2 eV/cell